# Al4InTe7

A geometry-optimized Al4InTe7 structure (GGA-PBE, Alexandria).

Structure (POSCAR):
```
Al4InTe7
1.0
17.2673 0.0000 0.0000
0.0000 7.1408 0.0000
0.0000 0.0000 6.9694
Al In Te
8 2 14
direct
0.1221 0.1492 0.0000
0.2488 0.3406 0.4884
0.2512 0.6594 0.9884
0.3779 0.8508 0.5000
0.6221 0.8508 0.5000
0.7488 0.6594 0.9884
0.7512 0.3406 0.4884
0.8779 0.1492 0.0000
0.0000 0.5653 0.1697
0.5000 0.4347 0.6697
0.0000 0.3060 0.8317
0.1133 0.2179 0.3703
0.1170 0.7977 0.8844
0.2455 0.6992 0.3751
0.2545 0.3008 0.8751
0.3830 0.2023 0.3844
0.3867 0.7821 0.8703
0.5000 0.6940 0.3317
0.6133 0.7821 0.8703
0.6170 0.2023 0.3844
0.7455 0.3008 0.8751
0.7545 0.6992 0.3751
0.8830 0.7977 0.8844
0.8867 0.2179 0.3703
```

Results
Its symmetry is Pmn2_1, No. 31. The total energy is -3.68 eV/atom. As for the crystal system: orthorhombic. For the total moment, the calculation gives 0.001 μB per cell.

---

# RbIrSe2N

A geometry-optimized RbIrSe2N structure (GGA-PBE, Alexandria).

Structure (POSCAR):
```
RbIrSe2N
1.0
5.6993 0.0000 0.0000
0.0000 5.6993 0.0000
0.0000 0.0000 4.4179
Rb Ir Se N
1 1 2 1
direct
0.0000 0.0000 0.0000
0.5000 0.5000 0.5000
0.0000 0.5000 0.0000
0.5000 0.0000 0.0000
0.0000 0.0000 0.5000
```

Results
Its symmetry is P4/mmm, No. 123. As for the distance to the lowest polymorph of the same formula: 2.593 eV per atom. As for the crystal system: tetragonal. For the total moment, the calculation gives 4.526 μB per cell.

---

# Hf8GaGe2

A geometry-optimized Hf8GaGe2 structure (GGA-PBE, Alexandria).

Structure (POSCAR):
```
Hf8GaGe2
1.0
8.0786 -1.9419 0.0000
8.0786 1.9419 0.0000
-0.8200 0.0000 7.3173
Hf Ga Ge
8 1 2
direct
0.9998 0.9998 0.2483
0.0002 0.0002 0.7517
0.2059 0.2059 0.3467
0.3303 0.3303 0.9929
0.4073 0.4073 0.4833
0.5927 0.5927 0.5167
0.6697 0.6697 0.0071
0.7941 0.7941 0.6533
0.5000 0.5000 0.0000
0.1803 0.1803 0.7396
0.8197 0.8197 0.2604
```

Results
Its symmetry is C2/m, No. 12. As for the crystal system: monoclinic. The formation energy is -286 meV/atom. For the total moment, the calculation gives 0.000 μB per cell.

---

# PaPb2O6

A geometry-optimized PaPb2O6 structure (GGA-PBE, Alexandria).

Structure (POSCAR):
```
PaPb2O6
1.0
-2.0970 2.0970 8.3028
2.0970 -2.0970 8.3028
2.0970 2.0970 -8.3028
Pa Pb O
1 2 6
direct
0.0000 0.0000 0.0000
0.3159 0.3159 0.0000
0.6841 0.6841 0.0000
0.1765 0.1765 0.5166
0.2500 0.7500 0.5000
0.3401 0.8235 0.0000
0.6599 0.6599 0.4834
0.7500 0.2500 0.5000
0.8235 0.3401 0.0000
```

Results
Its symmetry is I-42m, No. 121. The total energy is -6.86 eV/atom. As for the crystal system: tetragonal. For the total moment, the calculation gives 0.000 μB per cell.

---

# Nd5Ho4Tl

A geometry-optimized Nd5Ho4Tl structure (GGA-PBE, Alexandria).

Structure (POSCAR):
```
Nd5Ho4Tl
1.0
-5.3370 5.3370 2.9942
5.3370 -5.3370 2.9942
5.3370 5.3370 -2.9942
Nd Ho Tl
5 4 1
direct
0.0000 0.0000 0.0000
0.5278 0.5278 0.6240
0.5278 0.9038 0.0000
0.9038 0.5278 0.0000
0.9038 0.9038 0.3760
0.2007 0.5215 0.3208
0.2007 0.8799 0.6792
0.5215 0.2007 0.3208
0.8799 0.2007 0.6792
0.4783 0.4783 0.0000
```

Results
Its symmetry is I4mm, No. 107. As for the distance to the lowest polymorph of the same formula: 0.156 eV per atom. As for the crystal system: tetragonal. The formation energy is 169 meV/atom. For the total moment, the calculation gives 0.000 μB per cell.

---

# ThCo4Si4

A geometry-optimized ThCo4Si4 structure (GGA-PBE, Alexandria).

Structure (POSCAR):
```
ThCo4Si4
1.0
-3.8896 3.8896 2.1767
3.8896 -3.8896 2.1767
3.8896 3.8896 -2.1767
Th Co Si
1 4 4
direct
0.0000 0.0000 0.0000
0.1770 0.3122 0.4892
0.3122 0.8230 0.1352
0.6878 0.1770 0.8648
0.8230 0.6878 0.5108
0.1179 0.6060 0.7239
0.3940 0.1179 0.5120
0.6060 0.8821 0.4880
0.8821 0.3940 0.2761
```

Results
Its symmetry is I4/m, No. 87. The total energy is -6.89 eV/atom. As for the crystal system: tetragonal. For the total moment, the calculation gives 0.000 μB per cell.

---

# Ho2Ta2Ge2C

A geometry-optimized Ho2Ta2Ge2C structure (GGA-PBE, Alexandria).

Structure (POSCAR):
```
Ho2Ta2Ge2C
1.0
-2.1222 2.1222 7.5098
2.1222 -2.1222 7.5098
2.1222 2.1222 -7.5098
Ho Ta Ge C
2 2 2 1
direct
0.1666 0.1666 0.0000
0.8334 0.8334 0.0000
0.0000 0.5000 0.5000
0.5000 0.0000 0.5000
0.3708 0.3708 0.0000
0.6292 0.6292 0.0000
0.0000 0.0000 0.0000
```

Results
Its symmetry is I4/mmm, No. 139. As for the crystal system: tetragonal. The formation energy is -617 meV/atom. For the total moment, the calculation gives 0.000 μB per cell.

---

# ScWCl2

A geometry-optimized ScWCl2 structure (GGA-PBE, Alexandria).

Structure (POSCAR):
```
ScWCl2
1.0
3.3799 0.0000 0.0000
-0.3781 5.1123 0.0000
-1.4771 -2.4873 4.2976
Sc W Cl
1 1 2
direct
0.0000 0.0000 0.0000
0.5000 0.5000 0.0000
0.0000 0.0000 0.5000
0.5000 0.5000 0.5000
```

Results
Its symmetry is P-1, No. 2. As for the distance to the lowest polymorph of the same formula: 0.515 eV per atom. As for the crystal system: triclinic. For the total moment, the calculation gives 1.141 μB per cell.